# 1
# InAsF

A relaxed InAsF crystal (PBE, Alexandria).

a = 4.198 Å, b = 7.832 Å, c = 7.832 Å
α = 90.00°, β = 90.00°, γ = 90.00°
Fractional coordinates of all 12 atoms:
1 In 0.500 0.739 0.190
2 In 0.500 0.261 0.810
3 In 0.000 0.190 0.261
4 In 0.000 0.810 0.739
5 As 0.500 0.846 0.519
6 As 0.000 0.481 0.846
7 As 0.000 0.519 0.154
8 As 0.500 0.154 0.481
9 F 0.500 0.179 0.074
10 F 0.000 0.926 0.179
11 F 0.000 0.074 0.821
12 F 0.500 0.821 0.926

Calculated values
Raw total energy in eV per atom: -4.213
Total moment in μB per formula unit: 0.00
ρ in g/cm³: 5.38
E_form (uncorrected) in meV per atom: -1126.2
Space-group type: No. 84

=====

# 2
# CaRe2Rh

A relaxed CaRe2Rh crystal (PBE, Alexandria).

a = 5.028 Å, b = 2.806 Å, c = 4.813 Å
α = 84.55°, β = 90.00°, γ = 90.00°
Fractional coordinates of all 4 atoms:
1 Re 0.000 0.069 0.005
2 Re 0.000 0.431 0.495
3 Ca 0.500 0.750 0.750
4 Rh 0.500 0.250 0.250

Calculated values
Raw total energy in eV per atom: -8.128
Total moment in μB per formula unit: 0.00
ρ in g/cm³: 12.66
Relative energy among the computed polymorphs in meV/atom: 207
DFT formation energy in eV per atom: 0.43
Space-group type: No. 10

=====

# 3
# TiCu3Pd2

A relaxed TiCu3Pd2 crystal (PBE, Alexandria).

a = 4.993 Å, b = 4.993 Å, c = 7.854 Å
α = 100.53°, β = 100.53°, γ = 115.16°
Fractional coordinates of all 12 atoms:
1 Ti 0.664 0.664 0.329
2 Ti 0.336 0.336 0.671
3 Cu 0.323 0.839 0.162
4 Cu 0.161 0.677 0.838
5 Cu 0.677 0.161 0.838
6 Cu 0.839 0.323 0.162
7 Cu 0.166 0.166 0.332
8 Cu 0.834 0.834 0.668
9 Pd 0.250 0.750 0.500
10 Pd 0.747 0.747 0.000
11 Pd 0.750 0.250 0.500
12 Pd 0.253 0.253 0.000

Calculated values
Raw total energy in eV per atom: -5.292
Total moment in μB per formula unit: 0.00
ρ in g/cm³: 9.00
DFT formation energy in eV per atom: -0.20
Space-group type: No. 69

=====

# 4
# Sc2CuPd4

A relaxed Sc2CuPd4 crystal (PBE, Alexandria).

a = 5.187 Å, b = 5.324 Å, c = 9.057 Å
α = 90.00°, β = 108.26°, γ = 90.00°
Fractional coordinates of all 14 atoms:
1 Sc 0.673 0.750 0.996
2 Sc 0.327 0.250 0.004
3 Sc 0.277 0.250 0.407
4 Sc 0.723 0.750 0.593
5 Cu 0.192 0.750 0.188
6 Cu 0.808 0.250 0.812
7 Pd 0.641 0.502 0.278
8 Pd 0.095 0.750 0.896
9 Pd 0.905 0.250 0.104
10 Pd 0.641 0.998 0.278
11 Pd 0.872 0.250 0.551
12 Pd 0.359 0.002 0.722
13 Pd 0.359 0.498 0.722
14 Pd 0.128 0.750 0.449

Calculated values
Raw total energy in eV per atom: -5.966
Total moment in μB per formula unit: 0.00
ρ in g/cm³: 8.10
Relative energy among the computed polymorphs in meV/atom: 0
DFT formation energy in eV per atom: -0.60
Space-group type: No. 11

=====

# 5
# Sr2LiSnAu6

A relaxed Sr2LiSnAu6 crystal (PBE, Alexandria).

a = 7.234 Å, b = 7.158 Å, c = 7.224 Å
α = 80.18°, β = 46.00°, γ = 97.84°
Fractional coordinates of all 10 atoms:
1 Sr 0.251 0.788 0.462
2 Sr 0.749 0.212 0.538
3 Li 0.500 0.500 0.000
4 Sn 0.000 0.000 0.000
5 Au 0.257 0.744 0.009
6 Au 0.743 0.594 0.146
7 Au 0.249 0.256 0.486
8 Au 0.743 0.256 0.991
9 Au 0.257 0.406 0.854
10 Au 0.751 0.744 0.514

Calculated values
Raw total energy in eV per atom: -3.384
Total moment in μB per formula unit: 0.00
ρ in g/cm³: 9.95
DFT formation energy in eV per atom: -0.49
Space-group type: No. 2

=====

# 6
# HfVTeSe2

A relaxed HfVTeSe2 crystal (PBE, Alexandria).

a = 4.571 Å, b = 4.571 Å, c = 5.661 Å
α = 90.00°, β = 90.00°, γ = 90.00°
Fractional coordinates of all 5 atoms:
1 Te 0.500 0.500 0.500
2 Hf 0.000 0.000 0.500
3 Se 0.000 0.500 0.000
4 Se 0.500 0.000 0.000
5 V 0.000 0.000 0.000

Calculated values
Raw total energy in eV per atom: -5.786
Total moment in μB per formula unit: 0.17
ρ in g/cm³: 7.23
Relative energy among the computed polymorphs in meV/atom: 0
E_form (uncorrected) in meV per atom: 50.5
Space-group type: No. 123

=====

# 7
# Ac5Tb4Sm2

A relaxed Ac5Tb4Sm2 crystal (PBE, Alexandria).

a = 3.755 Å, b = 9.026 Å, c = 14.926 Å
α = 121.33°, β = 97.23°, γ = 90.00°
Fractional coordinates of all 11 atoms:
1 Ac 0.181 0.886 0.363
2 Ac 0.819 0.114 0.637
3 Ac 0.134 0.221 0.268
4 Ac 0.500 0.000 0.000
5 Ac 0.866 0.779 0.732
6 Tb 0.726 0.622 0.452
7 Tb 0.037 0.725 0.074
8 Tb 0.274 0.378 0.548
9 Tb 0.963 0.275 0.926
10 Sm 0.585 0.481 0.170
11 Sm 0.415 0.519 0.830

Calculated values
Raw total energy in eV per atom: -4.285
Total moment in μB per formula unit: 0.00
ρ in g/cm³: 8.05
DFT formation energy in eV per atom: 0.12
Space-group type: No. 12

=====

# 8
# LaPr2NdDy5

A relaxed LaPr2NdDy5 crystal (PBE, Alexandria).

a = 8.772 Å, b = 8.772 Å, c = 10.052 Å
α = 115.87°, β = 115.87°, γ = 90.00°
Fractional coordinates of all 18 atoms:
1 La 0.250 0.250 0.500
2 La 0.750 0.750 0.500
3 Pr 0.119 0.381 0.000
4 Pr 0.619 0.119 0.000
5 Pr 0.381 0.881 0.000
6 Pr 0.881 0.619 0.000
7 Nd 0.250 0.750 0.500
8 Nd 0.750 0.250 0.500
9 Dy 0.928 0.428 0.274
10 Dy 0.654 0.154 0.726
11 Dy 0.072 0.572 0.726
12 Dy 0.154 0.072 0.726
13 Dy 0.572 0.654 0.726
14 Dy 0.846 0.928 0.274
15 Dy 0.428 0.346 0.274
16 Dy 0.346 0.846 0.274
17 Dy 0.500 0.500 0.000
18 Dy 0.000 0.000 0.000

Calculated values
Raw total energy in eV per atom: -4.454
Total moment in μB per formula unit: 0.00
ρ in g/cm³: 7.52
DFT formation energy in eV per atom: 0.24
Space-group type: No. 140

=====

# 9
# KYTe2O8

A relaxed KYTe2O8 crystal (PBE, Alexandria).

a = 5.994 Å, b = 5.994 Å, c = 7.697 Å
α = 90.00°, β = 90.00°, γ = 120.00°
Fractional coordinates of all 12 atoms:
1 K 0.000 0.000 0.000
2 Y 0.000 0.000 0.500
3 Te 0.667 0.333 0.231
4 Te 0.333 0.667 0.769
5 O 0.333 0.667 0.005
6 O 0.335 0.187 0.315
7 O 0.813 0.148 0.315
8 O 0.667 0.333 0.995
9 O 0.187 0.852 0.685
10 O 0.665 0.813 0.685
11 O 0.148 0.335 0.685
12 O 0.852 0.665 0.315

Calculated values
Raw total energy in eV per atom: -6.028
Total moment in μB per formula unit: 0.00
ρ in g/cm³: 3.54
E_form (uncorrected) in meV per atom: -1568.7
Space-group type: No. 147

=====

# 10
# TmNpSn2

A relaxed TmNpSn2 crystal (PBE, Alexandria).

a = 4.365 Å, b = 4.869 Å, c = 4.869 Å
α = 90.00°, β = 90.00°, γ = 90.00°
Fractional coordinates of all 4 atoms:
1 Np 0.500 0.500 0.500
2 Tm 0.500 0.000 0.000
3 Sn 0.000 0.000 0.500
4 Sn 0.000 0.500 0.000

Calculated values
Raw total energy in eV per atom: -6.592
Total moment in μB per formula unit: 4.79
ρ in g/cm³: 10.33
Relative energy among the computed polymorphs in meV/atom: 0
DFT formation energy in eV per atom: -0.24
Space-group type: No. 123

=====

# 11
# Sr2IrW

A relaxed Sr2IrW crystal (PBE, Alexandria).

a = 11.244 Å, b = 11.244 Å, c = 8.312 Å
α = 47.44°, β = 47.44°, γ = 90.00°
Fractional coordinates of all 8 atoms:
1 Sr 0.794 0.125 0.250
2 Sr 0.956 0.625 0.250
3 Sr 0.375 0.206 0.750
4 Sr 0.875 0.044 0.750
5 Ir 0.000 0.000 0.000
6 Ir 0.750 0.250 0.500
7 W 0.500 0.500 0.000
8 W 0.250 0.750 0.500

Calculated values
Raw total energy in eV per atom: -5.567
Total moment in μB per formula unit: 2.38
ρ in g/cm³: 5.98
Relative energy among the computed polymorphs in meV/atom: 393
DFT formation energy in eV per atom: 0.73
Space-group type: No. 122

=====

# 12
# Ba3In2Ge3

A relaxed Ba3In2Ge3 crystal (PBE, Alexandria).

a = 4.783 Å, b = 6.950 Å, c = 16.162 Å
α = 90.00°, β = 90.00°, γ = 110.13°
Fractional coordinates of all 16 atoms:
1 Ba 0.934 0.868 0.392
2 Ba 0.066 0.132 0.892
3 Ba 0.934 0.868 0.108
4 Ba 0.066 0.132 0.608
5 Ba 0.656 0.312 0.250
6 Ba 0.344 0.688 0.750
7 In 0.763 0.526 0.908
8 In 0.237 0.474 0.408
9 In 0.763 0.526 0.592
10 In 0.237 0.474 0.092
11 Ge 0.629 0.258 0.453
12 Ge 0.371 0.742 0.953
13 Ge 0.629 0.258 0.047
14 Ge 0.371 0.742 0.547
15 Ge 0.353 0.706 0.250
16 Ge 0.647 0.294 0.750

Calculated values
Raw total energy in eV per atom: -3.620
Total moment in μB per formula unit: 0.00
ρ in g/cm³: 5.66
DFT formation energy in eV per atom: -0.48
Space-group type: No. 63